Record 1
# GGA-PBE Na2Be2Te3, optimized geometry
# Raw formation energy (eV/atom): -0.4712
# Total DFT energy (no corrections) (eV/cell): -182.51
# Volume (Å³/atom): 31.3
data_Na2Be2Te3
_chemical_formula_sum 'Na16 Be16 Te24'
_cell_length_a 20.047
_cell_length_b 11.301
_cell_length_c 7.948
_cell_angle_alpha 90.00
_cell_angle_beta 103.03
_cell_angle_gamma 90.00
_space_group_name_H-M_alt 'C 1 2/c 1'
_space_group_IT_number 15
_space_group_name_Hall '-C 2yc'
loop_
_atom_site_label
_atom_site_type_symbol
_atom_site_fract_x
_atom_site_fract_y
_atom_site_fract_z
Na1 Na 0.000 0.149 0.250
Na2 Na 0.000 0.241 0.750
Na3 Na 0.141 0.460 0.424
Be1 Be 0.172 0.241 0.992
Be2 Be 0.181 0.043 0.142
Te1 Te 0.081 0.332 0.089
Te2 Te 0.123 0.042 0.844
Te3 Te 0.225 0.330 0.769

Record 2
# GGA-PBE NaBe3Te, optimized geometry
# Raw formation energy (eV/atom): 1.6748
# Total DFT energy (no corrections) (eV/cell): -7.27
# Volume (Å³/atom): 20.1
# Energy above the lowest structure with this stoichiometry (meV per atom): 479
data_NaBe3Te
_chemical_formula_sum 'Na1 Be3 Te1'
_cell_length_a 4.646
_cell_length_b 4.646
_cell_length_c 4.646
_cell_angle_alpha 90.00
_cell_angle_beta 90.00
_cell_angle_gamma 90.00
_space_group_name_H-M_alt 'P m -3 m'
_space_group_IT_number 221
_space_group_name_Hall '-P 4 2 3'
loop_
_atom_site_label
_atom_site_type_symbol
_atom_site_fract_x
_atom_site_fract_y
_atom_site_fract_z
Na1 Na 0.000 0.000 0.000
Be1 Be 0.000 0.000 0.500
Te1 Te 0.500 0.500 0.500

Record 3
# GGA-PBE NaBeTe, optimized geometry
# Raw formation energy (eV/atom): -0.0538
# Total DFT energy (no corrections) (eV/cell): -16.70
# Volume (Å³/atom): 24.7
data_NaBeTe
_chemical_formula_sum 'Na2 Be2 Te2'
_cell_length_a 4.0684
_cell_length_b 4.0684
_cell_length_c 10.3370
_cell_angle_alpha 90.00
_cell_angle_beta 90.00
_cell_angle_gamma 120.00
_space_group_name_H-M_alt 'P 63/m m c'
_space_group_IT_number 194
_space_group_name_Hall '-P 6c 2c'
loop_
_atom_site_label
_atom_site_type_symbol
_atom_site_fract_x
_atom_site_fract_y
_atom_site_fract_z
Na1 Na 0.0000 0.0000 0.0000
Be1 Be 0.3333 0.6667 0.2500
Te1 Te 0.3333 0.6667 0.7500

Record 4
# GGA-PBE NaBeTlTe2, optimized geometry
# Raw formation energy (eV/atom): -0.3443
# Total DFT energy (no corrections) (eV/cell): -30.83
# Volume (Å³/atom): 36.4
data_NaBeTlTe2
_chemical_formula_sum 'Na2 Be2 Tl2 Te4'
_cell_length_a 7.654
_cell_length_b 5.679
_cell_length_c 8.588
_cell_angle_alpha 90.00
_cell_angle_beta 102.78
_cell_angle_gamma 90.00
_space_group_name_H-M_alt 'P 1 2/c 1'
_space_group_IT_number 13
_space_group_name_Hall '-P 2yc'
loop_
_atom_site_label
_atom_site_type_symbol
_atom_site_fract_x
_atom_site_fract_y
_atom_site_fract_z
Na1 Na 0.000 0.007 0.250
Be1 Be 0.000 0.500 0.000
Tl1 Tl 0.500 0.305 0.750
Te1 Te 0.241 0.267 0.047

Record 5
# GGA-PBE NaBe2VTe, optimized geometry
# Raw formation energy (eV/atom): 1.5686
# Total DFT energy (no corrections) (eV/cell): -13.19
# Volume (Å³/atom): 23.9
data_NaBe2VTe
_chemical_formula_sum 'Na1 Be2 V1 Te1'
_cell_length_a 4.733
_cell_length_b 4.733
_cell_length_c 5.325
_cell_angle_alpha 90.00
_cell_angle_beta 90.00
_cell_angle_gamma 90.00
_space_group_name_H-M_alt 'P 4/m m m'
_space_group_IT_number 123
_space_group_name_Hall '-P 4 2'
loop_
_atom_site_label
_atom_site_type_symbol
_atom_site_fract_x
_atom_site_fract_y
_atom_site_fract_z
Na1 Na 0.000 0.000 0.000
Be1 Be 0.000 0.500 0.500
V1 V 0.500 0.500 0.000
Te1 Te 0.000 0.000 0.500

Record 6
# GGA-PBE NaTiBe2, optimized geometry
# Total DFT energy (no corrections) (eV/cell): -56.42
# Energy of formation from the pure elements (meV/atom): 640
# Volume (Å³/atom): 14.4
# Energy above the lowest structure with this stoichiometry (meV per atom): 0
data_NaTiBe2
_chemical_formula_sum 'Na4 Ti4 Be8'
_cell_length_a 6.135
_cell_length_b 6.135
_cell_length_c 6.135
_cell_angle_alpha 90.00
_cell_angle_beta 90.00
_cell_angle_gamma 90.00
_space_group_name_H-M_alt 'F m -3 m'
_space_group_IT_number 225
_space_group_name_Hall '-F 4 2 3'
loop_
_atom_site_label
_atom_site_type_symbol
_atom_site_fract_x
_atom_site_fract_y
_atom_site_fract_z
Na1 Na 0.000 0.000 0.000
Ti1 Ti 0.000 0.000 0.500
Be1 Be 0.250 0.250 0.250

Record 7
# GGA-PBE NaTiBe2, optimized geometry
# Total DFT energy (no corrections) (eV/cell): -50.73
# Energy of formation from the pure elements (meV/atom): 996
# Volume (Å³/atom): 15.8
# Energy above the lowest structure with this stoichiometry (meV per atom): 356
data_NaTiBe2
_chemical_formula_sum 'Na4 Ti4 Be8'
_cell_length_a 6.872
_cell_length_b 6.872
_cell_length_c 5.362
_cell_angle_alpha 90.00
_cell_angle_beta 90.00
_cell_angle_gamma 90.00
_space_group_name_H-M_alt 'I -4 2 d'
_space_group_IT_number 122
_space_group_name_Hall 'I -4 2bw'
loop_
_atom_site_label
_atom_site_type_symbol
_atom_site_fract_x
_atom_site_fract_y
_atom_site_fract_z
Na1 Na 0.000 0.000 0.000
Ti1 Ti 0.000 0.000 0.500
Be1 Be 0.237 0.750 0.625

Record 8
# GGA-PBE Na2TiBe, optimized geometry
# Total DFT energy (no corrections) (eV/cell): -39.92
# Energy of formation from the pure elements (meV/atom): 1070
# Volume (Å³/atom): 22.0
data_Na2TiBe
_chemical_formula_sum 'Na8 Ti4 Be4'
_cell_length_a 8.264
_cell_length_b 8.264
_cell_length_c 5.147
_cell_angle_alpha 90.00
_cell_angle_beta 90.00
_cell_angle_gamma 90.00
_space_group_name_H-M_alt 'I -4 2 d'
_space_group_IT_number 122
_space_group_name_Hall 'I -4 2bw'
loop_
_atom_site_label
_atom_site_type_symbol
_atom_site_fract_x
_atom_site_fract_y
_atom_site_fract_z
Na1 Na 0.196 0.250 0.125
Ti1 Ti 0.000 0.000 0.500
Be1 Be 0.000 0.000 0.000

Record 9
# GGA-PBE NaTi2Be2, optimized geometry
# Total DFT energy (no corrections) (eV/cell): -45.57
# Energy of formation from the pure elements (meV/atom): 355
# Volume (Å³/atom): 14.9
data_NaTi2Be2
_chemical_formula_sum 'Na2 Ti4 Be4'
_cell_length_a 7.452
_cell_length_b 7.452
_cell_length_c 2.692
_cell_angle_alpha 90.00
_cell_angle_beta 90.00
_cell_angle_gamma 90.00
_space_group_name_H-M_alt 'P 4/m b m'
_space_group_IT_number 127
_space_group_name_Hall '-P 4 2ab'
loop_
_atom_site_label
_atom_site_type_symbol
_atom_site_fract_x
_atom_site_fract_y
_atom_site_fract_z
Na1 Na 0.000 0.000 0.000
Ti1 Ti 0.172 0.328 0.500
Be1 Be 0.110 0.610 0.000

Record 10
# GGA-PBE NaTiBe3, optimized geometry
# Total DFT energy (no corrections) (eV/cell): -13.20
# Energy of formation from the pure elements (meV/atom): 1439
# Volume (Å³/atom): 14.2
# Energy above the lowest structure with this stoichiometry (meV per atom): 69
data_NaTiBe3
_chemical_formula_sum 'Na1 Ti1 Be3'
_cell_length_a 4.138
_cell_length_b 4.138
_cell_length_c 4.138
_cell_angle_alpha 90.00
_cell_angle_beta 90.00
_cell_angle_gamma 90.00
_space_group_name_H-M_alt 'P m -3 m'
_space_group_IT_number 221
_space_group_name_Hall '-P 4 2 3'
loop_
_atom_site_label
_atom_site_type_symbol
_atom_site_fract_x
_atom_site_fract_y
_atom_site_fract_z
Na1 Na 0.000 0.000 0.000
Ti1 Ti 0.500 0.500 0.500
Be1 Be 0.000 0.000 0.500

Record 11
# GGA-PBE NaTiBe3, optimized geometry
# Total DFT energy (no corrections) (eV/cell): -13.54
# Energy of formation from the pure elements (meV/atom): 1370
# Volume (Å³/atom): 21.1
# Energy above the lowest structure with this stoichiometry (meV per atom): 0
data_NaTiBe3
_chemical_formula_sum 'Na1 Ti1 Be3'
_cell_length_a 4.724
_cell_length_b 4.724
_cell_length_c 4.724
_cell_angle_alpha 90.00
_cell_angle_beta 90.00
_cell_angle_gamma 90.00
_space_group_name_H-M_alt 'P m -3 m'
_space_group_IT_number 221
_space_group_name_Hall '-P 4 2 3'
loop_
_atom_site_label
_atom_site_type_symbol
_atom_site_fract_x
_atom_site_fract_y
_atom_site_fract_z
Na1 Na 0.000 0.000 0.000
Ti1 Ti 0.500 0.500 0.500
Be1 Be 0.000 0.500 0.500

Record 12
# GGA-PBE NaTiBe2W, optimized geometry
# Total DFT energy (no corrections) (eV/cell): -22.09
# Energy of formation from the pure elements (meV/atom): 1505
# Volume (Å³/atom): 20.0
data_NaTiBe2W
_chemical_formula_sum 'Na1 Ti1 Be2 W1'
_cell_length_a 4.718
_cell_length_b 4.718
_cell_length_c 4.499
_cell_angle_alpha 90.00
_cell_angle_beta 90.00
_cell_angle_gamma 90.00
_space_group_name_H-M_alt 'P 4/m m m'
_space_group_IT_number 123
_space_group_name_Hall '-P 4 2'
loop_
_atom_site_label
_atom_site_type_symbol
_atom_site_fract_x
_atom_site_fract_y
_atom_site_fract_z
Na1 Na 0.000 0.000 0.000
Ti1 Ti 0.500 0.500 0.500
Be1 Be 0.000 0.500 0.500
W1 W 0.500 0.500 0.000

Record 13
# GGA-PBE NaBeTl3, optimized geometry
# Total DFT energy (no corrections) (eV/cell): -7.56
# Energy of formation from the pure elements (meV/atom): 916
# Volume (Å³/atom): 35.4
# Energy above the lowest structure with this stoichiometry (meV per atom): 720
data_NaBeTl3
_chemical_formula_sum 'Na1 Be1 Tl3'
_cell_length_a 5.613
_cell_length_b 5.613
_cell_length_c 5.613
_cell_angle_alpha 90.00
_cell_angle_beta 90.00
_cell_angle_gamma 90.00
_space_group_name_H-M_alt 'P m -3 m'
_space_group_IT_number 221
_space_group_name_Hall '-P 4 2 3'
loop_
_atom_site_label
_atom_site_type_symbol
_atom_site_fract_x
_atom_site_fract_y
_atom_site_fract_z
Na1 Na 0.000 0.000 0.000
Be1 Be 0.500 0.500 0.500
Tl1 Tl 0.000 0.000 0.500